(1)
An optimized crystal structure of YInPtI2, computed with PBE.

Raw formation energy in eV per atom: -0.0774
N(E_F) in states/eV per atom: 0.82
Calculated volume in Å³/cell: 169.8
Symmetry: P4/mmm
Calculated total energy in eV for the cell shown: -18.73

abc: 5.6073 5.3997 5.6073
angles: 90.00 90.00 90.00
With the nearest neighbours (Å) after each atom.
Fractional positions:
I 0.0000 0.0000 0.5000  2 Pt 2.80
I 0.5000 0.0000 0.0000  2 Pt 2.80
Y 0.0000 0.5000 0.0000  2 Pt 2.70
Pt 0.0000 0.0000 0.0000  2 Y 2.70, 4 I 2.80
In 0.5000 0.5000 0.5000  8 I 3.89, 4 Y 3.96



(2)
An optimized crystal structure of ZnIn2PtI, computed with PBE.

Raw formation energy in eV per atom: -0.3602
N(E_F) in states/eV per atom: 0.36
Calculated volume in Å³/cell: 140.7
Symmetry: P4/mmm
Calculated total energy in eV for the cell shown: -16.14

abc: 5.3125 5.3125 4.9864
angles: 90.00 90.00 90.00
With the nearest neighbours (Å) after each atom.
Fractional positions:
I 0.5000 0.5000 0.5000  8 In 3.64, 4 Zn 3.76
Zn 0.0000 0.0000 0.5000  2 Pt 2.49
Pt 0.0000 0.0000 0.0000  2 Zn 2.49, 4 In 2.66
In 0.0000 0.5000 0.0000  2 Pt 2.66
In 0.5000 0.0000 0.0000  2 Pt 2.66